No. 1
# LiPtRh2C | the Alexandria database | PBE | relaxed
# VASP energy = -21.2 eV per cell
# formation energy = 10.6 eV per formula unit
# ρ = 6.80 g/cm³
# symmetry = P4/mmm (123)
data_LiPtRh2C
_chemical_formula_sum 'Li1 Pt1 Rh2 C1'
_cell_length_a 4.785
_cell_length_b 4.785
_cell_length_c 4.477
_cell_angle_alpha 90.00
_cell_angle_beta 90.00
_cell_angle_gamma 90.00
_space_group_name_H-M_alt 'P 1'
_space_group_IT_number 1
_space_group_name_Hall 'P 1'
loop_
_atom_site_label
_atom_site_type_symbol
_atom_site_fract_x
_atom_site_fract_y
_atom_site_fract_z
Li1 Li 0.000 0.000 0.000
Pt1 Pt 0.000 0.000 0.500
Rh1 Rh 0.000 0.500 0.500
Rh2 Rh 0.500 0.000 0.500
C1 C 0.500 0.500 0.000

---

No. 2
# LiPt2CSe | the Alexandria database | PBE | relaxed
# VASP energy = -25.9 eV per cell
# uncorrected formation energy = 0.155 eV/atom
# ρ = 10.31 g/cm³
# symmetry = P4/mmm (123)
data_LiPt2CSe
_chemical_formula_sum 'Li1 Pt2 C1 Se1'
_cell_length_a 4.013
_cell_length_b 4.013
_cell_length_c 4.881
_cell_angle_alpha 90.00
_cell_angle_beta 90.00
_cell_angle_gamma 90.00
_space_group_name_H-M_alt 'P 1'
_space_group_IT_number 1
_space_group_name_Hall 'P 1'
loop_
_atom_site_label
_atom_site_type_symbol
_atom_site_fract_x
_atom_site_fract_y
_atom_site_fract_z
Li1 Li 0.000 0.000 0.000
Pt1 Pt 0.000 0.500 0.500
Pt2 Pt 0.500 0.000 0.500
C1 C 0.000 0.000 0.500
Se1 Se 0.500 0.500 0.000

---

No. 3
# SrLiPt2C | the Alexandria database | PBE | relaxed
# VASP energy = -25.6 eV per cell
# formation energy = -0.7 eV per formula unit
# ρ = 9.94 g/cm³
# symmetry = P4/mmm (123)
data_SrLiPt2C
_chemical_formula_sum 'Sr1 Li1 Pt2 C1'
_cell_length_a 4.335
_cell_length_b 4.335
_cell_length_c 4.418
_cell_angle_alpha 90.00
_cell_angle_beta 90.00
_cell_angle_gamma 90.00
_space_group_name_H-M_alt 'P 1'
_space_group_IT_number 1
_space_group_name_Hall 'P 1'
loop_
_atom_site_label
_atom_site_type_symbol
_atom_site_fract_x
_atom_site_fract_y
_atom_site_fract_z
Sr1 Sr 0.000 0.000 0.000
Li1 Li 0.500 0.500 0.000
Pt1 Pt 0.000 0.500 0.500
Pt2 Pt 0.500 0.000 0.500
C1 C 0.500 0.500 0.500

---

No. 4
# LiTi2PtC | the Alexandria database | PBE | relaxed
# VASP energy = -35.3 eV per cell
# formation energy = -2.4 eV per formula unit
# ρ = 7.63 g/cm³
# symmetry = P4/mmm (123)
data_LiTi2PtC
_chemical_formula_sum 'Li1 Ti2 Pt1 C1'
_cell_length_a 4.153
_cell_length_b 4.153
_cell_length_c 3.908
_cell_angle_alpha 90.00
_cell_angle_beta 90.00
_cell_angle_gamma 90.00
_space_group_name_H-M_alt 'P 1'
_space_group_IT_number 1
_space_group_name_Hall 'P 1'
loop_
_atom_site_label
_atom_site_type_symbol
_atom_site_fract_x
_atom_site_fract_y
_atom_site_fract_z
Li1 Li 0.000 0.000 0.000
Ti1 Ti 0.000 0.500 0.500
Ti2 Ti 0.500 0.000 0.500
Pt1 Pt 0.500 0.500 0.000
C1 C 0.000 0.000 0.500

---

Number 2 is which compound? LiPt2CSe

---

What is the formula in the third record? SrLiPt2C